Entry 1:
Below is crystalline Si2AgAs at its relaxed geometry, with properties calculated at the PBE level.

Output
ΔE_f (raw) (kcal/mol of atoms): 7.696
Symmetry: I-42d (122)

CIF file:
```
data_Si2AgAs
_cell_length_a 5.907
_cell_length_b 5.907
_cell_length_c 6.665
_cell_angle_alpha 63.69
_cell_angle_beta 63.69
_cell_angle_gamma 90.00
_symmetry_space_group_name_H-M 'P 1'
_symmetry_Int_Tables_number 1
_symmetry_space_group_name_Hall 'P 1'
loop_
_atom_site_label
_atom_site_fract_x
_atom_site_fract_y
_atom_site_fract_z
As1 0.500 0.500 0.000
As2 0.250 0.750 0.500
Si1 0.619 0.125 0.250
Si2 0.131 0.625 0.250
Si3 0.375 0.381 0.750
Si4 0.875 0.869 0.750
Ag1 0.000 0.000 0.000
Ag2 0.750 0.250 0.500
```

---

Entry 2:
Below is crystalline Hf2VCu at its relaxed geometry, with properties calculated at the PBE level.

Output
Symmetry: I-42d (122)

CIF file:
```
data_Hf2VCu
_cell_length_a 4.035
_cell_length_b 4.035
_cell_length_c 9.819
_cell_angle_alpha 78.14
_cell_angle_beta 78.14
_cell_angle_gamma 90.00
_symmetry_space_group_name_H-M 'P 1'
_symmetry_Int_Tables_number 1
_symmetry_space_group_name_Hall 'P 1'
loop_
_atom_site_label
_atom_site_fract_x
_atom_site_fract_y
_atom_site_fract_z
Hf1 0.625 0.125 0.250
Hf2 0.125 0.625 0.250
Hf3 0.375 0.375 0.750
Hf4 0.875 0.875 0.750
Cu1 0.000 0.000 0.000
Cu2 0.750 0.250 0.500
V1 0.500 0.500 0.000
V2 0.250 0.750 0.500
```

---

Number 1: VASP energy -4.2530 eV per atom. Number 2: VASP energy -7.5977 eV per atom.